# 1
Computed, not measured: a geometry-optimized Nd6SmEr2Tm structure at the PBE-GGA level of DFT.

The structure in CIF format:
```
data_Nd6SmEr2Tm
_space_group_name_H-M_alt 'P 1'
_space_group_IT_number 1
_cell_length_a 9.617
_cell_length_b 8.946
_cell_length_c 8.946
_cell_angle_alpha 117.30
_cell_angle_beta 93.60
_cell_angle_gamma 93.60
loop_
_space_group_symop_operation_xyz
'x,y,z'
loop_
_atom_site_label
_atom_site_type_symbol
_atom_site_fract_x
_atom_site_fract_y
_atom_site_fract_z
_atom_site_occupancy
Nd1 Nd 0.055 0.116 0.762 1
Nd2 Nd 0.445 0.238 0.884 1
Nd3 Nd 0.945 0.884 0.238 1
Nd4 Nd 0.555 0.762 0.116 1
Nd5 Nd 0.313 0.994 0.438 1
Nd6 Nd 0.187 0.562 0.006 1
Nd7 Nd 0.687 0.006 0.562 1
Nd8 Nd 0.813 0.438 0.994 1
Nd9 Nd 0.117 0.707 0.487 1
Nd10 Nd 0.383 0.513 0.293 1
Nd11 Nd 0.883 0.293 0.513 1
Nd12 Nd 0.617 0.487 0.707 1
Sm1 Sm 0.250 0.971 0.029 1
Sm2 Sm 0.750 0.029 0.971 1
Er1 Er 0.452 0.797 0.700 1
Er2 Er 0.048 0.300 0.203 1
Er3 Er 0.548 0.203 0.300 1
Er4 Er 0.952 0.700 0.797 1
Tm1 Tm 0.250 0.412 0.588 1
Tm2 Tm 0.750 0.588 0.412 1
```

Calculated values
Final energy (eV for the cell shown): -91.54
Energy relative to the elements (eV/atom): 0.115
Total magnetic moment (μB per atom): 0.000
Crystal system: monoclinic

# 2
Computed, not measured: a geometry-optimized Nd6SmEr3Tm2 structure at the PBE-GGA level of DFT.

The structure in CIF format:
```
data_Nd6SmEr3Tm2
_space_group_name_H-M_alt 'P 1'
_space_group_IT_number 1
_cell_length_a 6.254
_cell_length_b 6.254
_cell_length_c 11.811
_cell_angle_alpha 95.05
_cell_angle_beta 95.05
_cell_angle_gamma 120.00
loop_
_space_group_symop_operation_xyz
'x,y,z'
loop_
_atom_site_label
_atom_site_type_symbol
_atom_site_fract_x
_atom_site_fract_y
_atom_site_fract_z
_atom_site_occupancy
Nd1 Nd 0.916 0.582 0.749 1
Nd2 Nd 0.750 0.750 0.251 1
Nd3 Nd 0.084 0.418 0.251 1
Nd4 Nd 0.582 0.916 0.749 1
Nd5 Nd 0.250 0.250 0.749 1
Nd6 Nd 0.418 0.084 0.251 1
Sm1 Sm 0.000 0.000 0.000 1
Er1 Er 0.167 0.833 0.500 1
Er2 Er 0.833 0.167 0.500 1
Er3 Er 0.500 0.500 0.500 1
Tm1 Tm 0.333 0.667 0.000 1
Tm2 Tm 0.667 0.333 0.000 1
```

Calculated values
Final energy (eV for the cell shown): -55.79
Energy relative to the elements (eV/atom): 0.014
Total magnetic moment (μB per atom): 0.000
Crystal system: monoclinic

# 3
Computed, not measured: a geometry-optimized NdSmEr2Tm5 structure at the PBE-GGA level of DFT.

The structure in CIF format:
```
data_NdSmEr2Tm5
_space_group_name_H-M_alt 'P 1'
_space_group_IT_number 1
_cell_length_a 8.878
_cell_length_b 8.878
_cell_length_c 9.607
_cell_angle_alpha 117.52
_cell_angle_beta 117.52
_cell_angle_gamma 90.00
loop_
_space_group_symop_operation_xyz
'x,y,z'
loop_
_atom_site_label
_atom_site_type_symbol
_atom_site_fract_x
_atom_site_fract_y
_atom_site_fract_z
_atom_site_occupancy
Nd1 Nd 0.250 0.250 0.500 1
Nd2 Nd 0.750 0.750 0.500 1
Sm1 Sm 0.250 0.750 0.500 1
Sm2 Sm 0.750 0.250 0.500 1
Er1 Er 0.113 0.387 0.000 1
Er2 Er 0.613 0.113 0.000 1
Er3 Er 0.387 0.887 0.000 1
Er4 Er 0.887 0.613 0.000 1
Tm1 Tm 0.927 0.427 0.261 1
Tm2 Tm 0.666 0.166 0.739 1
Tm3 Tm 0.073 0.573 0.739 1
Tm4 Tm 0.166 0.073 0.739 1
Tm5 Tm 0.573 0.666 0.739 1
Tm6 Tm 0.834 0.927 0.261 1
Tm7 Tm 0.427 0.334 0.261 1
Tm8 Tm 0.334 0.834 0.261 1
Tm9 Tm 0.500 0.500 0.000 1
Tm10 Tm 0.000 0.000 0.000 1
```

Calculated values
Final energy (eV for the cell shown): -76.74
Energy relative to the elements (eV/atom): 0.289
Total magnetic moment (μB per atom): 0.000
Crystal system: tetragonal

# 4
Computed, not measured: a geometry-optimized Nd2SmEr2Tm structure at the PBE-GGA level of DFT.

The structure in CIF format:
```
data_Nd2SmEr2Tm
_space_group_name_H-M_alt 'P 1'
_space_group_IT_number 1
_cell_length_a 5.657
_cell_length_b 7.020
_cell_length_c 9.790
_cell_angle_alpha 90.00
_cell_angle_beta 90.00
_cell_angle_gamma 90.00
loop_
_space_group_symop_operation_xyz
'x,y,z'
loop_
_atom_site_label
_atom_site_type_symbol
_atom_site_fract_x
_atom_site_fract_y
_atom_site_fract_z
_atom_site_occupancy
Nd1 Nd 0.500 0.008 0.000 1
Nd2 Nd 0.000 0.258 0.179 1
Nd3 Nd 0.500 0.508 0.000 1
Nd4 Nd 0.000 0.758 0.821 1
Sm1 Sm 0.500 0.258 0.656 1
Sm2 Sm 0.500 0.758 0.344 1
Er1 Er 0.000 0.258 0.837 1
Er2 Er 0.500 0.258 0.330 1
Er3 Er 0.000 0.758 0.163 1
Er4 Er 0.500 0.758 0.670 1
Tm1 Tm 0.000 0.008 0.500 1
Tm2 Tm 0.000 0.508 0.500 1
```

Calculated values
Final energy (eV for the cell shown): -54.93
Energy relative to the elements (eV/atom): 0.065
Total magnetic moment (μB per atom): 0.000
Crystal system: orthorhombic

# 5
Computed, not measured: a geometry-optimized NdSmEr2Tm2 structure at the PBE-GGA level of DFT.

The structure in CIF format:
```
data_NdSmEr2Tm2
_space_group_name_H-M_alt 'P 1'
_space_group_IT_number 1
_cell_length_a 3.385
_cell_length_b 6.548
_cell_length_c 17.681
_cell_angle_alpha 90.00
_cell_angle_beta 90.00
_cell_angle_gamma 90.00
loop_
_space_group_symop_operation_xyz
'x,y,z'
loop_
_atom_site_label
_atom_site_type_symbol
_atom_site_fract_x
_atom_site_fract_y
_atom_site_fract_z
_atom_site_occupancy
Nd1 Nd 0.000 0.000 0.000 1
Nd2 Nd 0.500 0.500 0.500 1
Sm1 Sm 0.500 0.500 0.000 1
Sm2 Sm 0.000 0.000 0.500 1
Er1 Er 0.500 0.274 0.315 1
Er2 Er 0.000 0.774 0.185 1
Er3 Er 0.500 0.726 0.685 1
Er4 Er 0.000 0.226 0.815 1
Tm1 Tm 0.500 0.775 0.350 1
Tm2 Tm 0.500 0.225 0.650 1
Tm3 Tm 0.000 0.725 0.850 1
Tm4 Tm 0.000 0.275 0.150 1
```

Calculated values
Final energy (eV for the cell shown): -51.70
Energy relative to the elements (eV/atom): 0.285
Total magnetic moment (μB per atom): 0.000
Crystal system: orthorhombic

# 6
Computed, not measured: a geometry-optimized Nd2SmErTm2 structure at the PBE-GGA level of DFT.

The structure in CIF format:
```
data_Nd2SmErTm2
_space_group_name_H-M_alt 'P 1'
_space_group_IT_number 1
_cell_length_a 5.656
_cell_length_b 7.020
_cell_length_c 9.780
_cell_angle_alpha 90.00
_cell_angle_beta 90.00
_cell_angle_gamma 90.00
loop_
_space_group_symop_operation_xyz
'x,y,z'
loop_
_atom_site_label
_atom_site_type_symbol
_atom_site_fract_x
_atom_site_fract_y
_atom_site_fract_z
_atom_site_occupancy
Nd1 Nd 0.500 0.007 0.000 1
Nd2 Nd 0.000 0.257 0.178 1
Nd3 Nd 0.500 0.507 0.000 1
Nd4 Nd 0.000 0.757 0.822 1
Sm1 Sm 0.500 0.258 0.657 1
Sm2 Sm 0.500 0.758 0.343 1
Er1 Er 0.000 0.008 0.500 1
Er2 Er 0.000 0.508 0.500 1
Tm1 Tm 0.000 0.257 0.836 1
Tm2 Tm 0.500 0.258 0.331 1
Tm3 Tm 0.000 0.757 0.164 1
Tm4 Tm 0.500 0.758 0.669 1
```

Calculated values
Final energy (eV for the cell shown): -54.73
Energy relative to the elements (eV/atom): 0.066
Total magnetic moment (μB per atom): 0.000
Crystal system: orthorhombic

# 7
Computed, not measured: a geometry-optimized Nd2SmErTm4 structure at the PBE-GGA level of DFT.

The structure in CIF format:
```
data_Nd2SmErTm4
_space_group_name_H-M_alt 'P 1'
_space_group_IT_number 1
_cell_length_a 5.066
_cell_length_b 5.047
_cell_length_c 11.145
_cell_angle_alpha 63.09
_cell_angle_beta 90.00
_cell_angle_gamma 90.00
loop_
_space_group_symop_operation_xyz
'x,y,z'
loop_
_atom_site_label
_atom_site_type_symbol
_atom_site_fract_x
_atom_site_fract_y
_atom_site_fract_z
_atom_site_occupancy
Nd1 Nd 0.000 0.000 0.000 1
Nd2 Nd 0.500 0.000 0.500 1
Sm1 Sm 0.500 0.500 0.000 1
Er1 Er 0.000 0.500 0.500 1
Tm1 Tm 0.000 0.752 0.748 1
Tm2 Tm 0.000 0.248 0.252 1
Tm3 Tm 0.500 0.749 0.251 1
Tm4 Tm 0.500 0.251 0.749 1
```

Calculated values
Final energy (eV for the cell shown): -36.51
Energy relative to the elements (eV/atom): 0.024
Total magnetic moment (μB per atom): 0.000
Crystal system: orthorhombic

# 8
Computed, not measured: a geometry-optimized Nd3SmEr6Tm2 structure at the PBE-GGA level of DFT.

The structure in CIF format:
```
data_Nd3SmEr6Tm2
_space_group_name_H-M_alt 'P 1'
_space_group_IT_number 1
_cell_length_a 6.166
_cell_length_b 6.166
_cell_length_c 11.745
_cell_angle_alpha 95.01
_cell_angle_beta 95.01
_cell_angle_gamma 119.98
loop_
_space_group_symop_operation_xyz
'x,y,z'
loop_
_atom_site_label
_atom_site_type_symbol
_atom_site_fract_x
_atom_site_fract_y
_atom_site_fract_z
_atom_site_occupancy
Nd1 Nd 0.167 0.833 0.500 1
Nd2 Nd 0.833 0.167 0.500 1
Nd3 Nd 0.500 0.500 0.500 1
Sm1 Sm 0.000 0.000 0.000 1
Er1 Er 0.918 0.584 0.754 1
Er2 Er 0.748 0.748 0.246 1
Er3 Er 0.082 0.416 0.246 1
Er4 Er 0.584 0.918 0.754 1
Er5 Er 0.252 0.252 0.754 1
Er6 Er 0.416 0.082 0.246 1
Tm1 Tm 0.333 0.667 0.000 1
Tm2 Tm 0.667 0.333 0.000 1
```

Calculated values
Final energy (eV for the cell shown): -55.09
Energy relative to the elements (eV/atom): 0.021
Total magnetic moment (μB per atom): 0.000
Crystal system: monoclinic

# 9
Computed, not measured: a geometry-optimized Nd2Sm2ErTm2 structure at the PBE-GGA level of DFT.

The structure in CIF format:
```
data_Nd2Sm2ErTm2
_space_group_name_H-M_alt 'P 1'
_space_group_IT_number 1
_cell_length_a 5.070
_cell_length_b 6.217
_cell_length_c 8.014
_cell_angle_alpha 97.53
_cell_angle_beta 90.00
_cell_angle_gamma 114.06
loop_
_space_group_symop_operation_xyz
'x,y,z'
loop_
_atom_site_label
_atom_site_type_symbol
_atom_site_fract_x
_atom_site_fract_y
_atom_site_fract_z
_atom_site_occupancy
Nd1 Nd 0.143 0.287 0.427 1
Nd2 Nd 0.857 0.713 0.573 1
Sm1 Sm 0.571 0.141 0.720 1
Sm2 Sm 0.429 0.859 0.280 1
Er1 Er 0.000 0.000 0.000 1
Tm1 Tm 0.715 0.430 0.139 1
Tm2 Tm 0.285 0.570 0.861 1
```

Calculated values
Final energy (eV for the cell shown): -32.33
Energy relative to the elements (eV/atom): 0.022
Total magnetic moment (μB per atom): 0.000
Crystal system: monoclinic